VASP calculation (GGA-PBE) on a relaxed structure of Cs2RbPbBr6.

Output
- total magnetization (Bohr magnetons per cell) = 0.0
- final energy (eV/cell) = -59.14
- ΔE to the lowest computed polymorph (meV/atom) = 0
- density of states at the Fermi level (states/eV/cell) = 8.379
- symmetry = Pmmn, No. 59

Cell lengths 8.0737, 9.6724, 12.2653 Å; angles 90.00, 90.00, 90.00 degrees
Last column: nearest neighbours and their distance in Å.
Fractional coordinates of all 20 atoms:
Cs 0.0000 0.1737 0.2865  7 Br 3.67-4.06
Cs 0.0000 0.1737 0.7135  7 Br 3.67-4.06
Cs 0.5000 0.8263 0.2135  7 Br 3.67-4.06
Cs 0.5000 0.8263 0.7865  7 Br 3.67-4.06
Br 0.7249 0.6064 0.0000  1 Pb 2.88
Br 0.2249 0.3936 0.5000  1 Pb 2.88
Br 0.2751 0.6064 0.0000  1 Pb 2.88
Br 0.0000 0.7999 0.2372  1 Pb 2.91
Br 0.2563 0.9809 0.5000  1 Pb 2.92
Br 0.7563 0.0191 0.0000  1 Pb 2.92
Br 0.7437 0.9809 0.5000  1 Pb 2.92
Br 0.5000 0.2001 0.2628  1 Pb 2.91
Br 0.0000 0.7999 0.7628  1 Pb 2.91
Br 0.5000 0.2001 0.7372  1 Pb 2.91
Br 0.7751 0.3936 0.5000  1 Pb 2.88
Br 0.2437 0.0191 0.0000  1 Pb 2.92
Pb 0.0000 0.7962 0.0000  6 Br 2.88-2.92
Pb 0.5000 0.2038 0.5000  6 Br 2.88-2.92
Rb 0.0000 0.6931 0.5000  6 Br 3.39-3.47
Rb 0.5000 0.3069 0.0000  6 Br 3.39-3.47